# Tb4NdHo2Er (PBE, optimized geometry)
# energy of formation	0.016	eV per atom
data_Tb4NdHo2Er
_chemical_formula_sum 'Tb16 Nd4 Ho8 Er4'
_cell_length_a 12.326
_cell_length_b 7.118
_cell_length_c 12.322
_cell_angle_alpha 90.00
_cell_angle_beta 109.47
_cell_angle_gamma 90.00
_space_group_name_H-M_alt 'C 1 2/m 1'
_space_group_IT_number 12
loop_
_space_group_symop_operation_xyz
'x,y,z'
'-x,-y,-z'
'-x,y,-z'
'x,-y,z'
'x+1/2,y+1/2,z'
'-x+1/2,-y+1/2,-z'
'-x+1/2,y+1/2,-z'
'x+1/2,-y+1/2,z'
loop_
_atom_site_label
_atom_site_type_symbol
_atom_site_fract_x
_atom_site_fract_y
_atom_site_fract_z
_atom_site_occupancy
Tb1 Tb 0.000 0.249 0.250 1
Tb2 Tb 0.250 0.000 0.249 1
Tb3 Tb 0.250 0.000 0.750 1
Nd1 Nd 0.000 0.500 0.000 1
Nd2 Nd 0.000 0.500 0.500 1
Ho1 Ho 0.000 0.000 0.000 1
Ho2 Ho 0.000 0.000 0.500 1
Ho3 Ho 0.250 0.250 0.500 1
Er1 Er 0.250 0.250 0.000 1

=====

# TaCr2Se (PBE, optimized geometry)
# formation energy (no corrections)	0.24	eV/atom
data_TaCr2Se
_chemical_formula_sum 'Ta1 Cr2 Se1'
_cell_length_a 4.376
_cell_length_b 3.167
_cell_length_c 4.387
_cell_angle_alpha 90.00
_cell_angle_beta 99.37
_cell_angle_gamma 90.00
_space_group_name_H-M_alt 'P 1 2/m 1'
_space_group_IT_number 10
loop_
_space_group_symop_operation_xyz
'x,y,z'
'-x,-y,-z'
'-x,y,-z'
'x,-y,z'
loop_
_atom_site_label
_atom_site_type_symbol
_atom_site_fract_x
_atom_site_fract_y
_atom_site_fract_z
_atom_site_occupancy
Ta1 Ta 0.000 0.000 0.000 1
Cr1 Cr 0.500 0.000 0.500 1
Cr2 Cr 0.500 0.500 0.000 1
Se1 Se 0.000 0.500 0.500 1

=====

# Ca2HgOsC (PBE, optimized geometry)
# energy of formation	-0.125	eV per atom
data_Ca2HgOsC
_chemical_formula_sum 'Ca2 Hg1 Os1 C1'
_cell_length_a 5.168
_cell_length_b 5.168
_cell_length_c 3.907
_cell_angle_alpha 90.00
_cell_angle_beta 90.00
_cell_angle_gamma 90.00
_space_group_name_H-M_alt 'P 4/m m m'
_space_group_IT_number 123
_space_group_name_Hall '-P 4 2'
loop_
_atom_site_label
_atom_site_type_symbol
_atom_site_fract_x
_atom_site_fract_y
_atom_site_fract_z
_atom_site_occupancy
Ca1 Ca 0.000 0.500 0.000 1
Hg1 Hg 0.000 0.000 0.500 1
Os1 Os 0.500 0.500 0.500 1
C1 C 0.500 0.500 0.000 1

=====

# La3PrPb2Se (PBE, optimized geometry)
# formation energy (no corrections)	-0.71	eV/atom
data_La3PrPb2Se
_chemical_formula_sum 'La6 Pr2 Pb4 Se2'
_cell_length_a 5.502
_cell_length_b 5.527
_cell_length_c 17.015
_cell_angle_alpha 90.00
_cell_angle_beta 90.00
_cell_angle_gamma 90.00
_space_group_name_H-M_alt 'I m m m'
_space_group_IT_number 71
_space_group_name_Hall '-I 2 2'
loop_
_atom_site_label
_atom_site_type_symbol
_atom_site_fract_x
_atom_site_fract_y
_atom_site_fract_z
_atom_site_occupancy
La1 La 0.000 0.000 0.000 1
La2 La 0.000 0.500 0.174 1
Pr1 Pr 0.000 0.000 0.500 1
Pb1 Pb 0.000 0.500 0.368 1
Se1 Se 0.000 0.500 0.000 1

=====

Number 1: total magnetization 0.0 μB/f.u.. Number 2: total magnetization 0.7 μB/f.u.. Number 3: total magnetization 0.0 μB/f.u.. Number 4: total magnetization 0.0 μB/f.u..